Entry from Alexandria via LeMat-Bulk: a geometry-optimized CoAg2Pb structure (PBE).

Summary:
* VASP energy: -57.96 eV/cell
* calculated density: 10.3 g/cm³
* magnetization: 4.07 μB/cell
* calculated formation energy: 506 meV/atom

Cell and atoms, written as POSCAR:
```
CoAg2Pb
1.0
3.885 0.000 0.000
0.000 3.885 0.000
0.000 0.000 20.644
Co Ag Pb
4 8 4
Direct
0.000 0.000 0.000 Co
0.000 0.500 0.250 Co
0.500 0.000 0.750 Co
0.500 0.500 0.500 Co
0.240 0.250 0.125 Ag
0.250 0.740 0.375 Ag
0.250 0.760 0.875 Ag
0.260 0.250 0.625 Ag
0.740 0.750 0.625 Ag
0.750 0.240 0.875 Ag
0.750 0.260 0.375 Ag
0.760 0.750 0.125 Ag
0.000 0.000 0.500 Pb
0.000 0.500 0.750 Pb
0.500 0.000 0.250 Pb
0.500 0.500 0.000 Pb
```